{
  "formula": "Tm2NpNiO8",
  "functional": "GGA+U",
  "state": "relaxed",
  "total_energy_ev_per_atom": -7.886,
  "spacegroup": "P-1 (2)",
  "m_tot_mub_per_fu": 1.0,
  "cell": [[4.3997, 0.0000, 0.0000], [0.4983, 5.0406, 0.0000], [0.2645, 0.7741, 7.0104]],
  "species": ["Tm", "Tm", "Np", "Ni", "O", "O", "O", "O", "O", "O", "O", "O"],
  "frac_coords": [[0.0739, 0.0129, 0.2354], [0.9261, 0.9871, 0.7645], [0.5000, 0.5000, 0.5000], [0.5000, 0.5000, 0.0000], [0.1202, 0.7423, 0.5214], [0.1984, 0.7775, 0.9975], [0.3599, 0.3530, 0.2400], [0.3856, 0.2073, 0.6847], [0.6144, 0.7927, 0.3153], [0.6401, 0.6470, 0.7600], [0.8016, 0.2225, 0.0025], [0.8798, 0.2577, 0.4786]]
}